An optimized crystal structure of LiCd, computed with PBE-GGA.

Properties
SG ... Fd-3m, No. 227
Total DFT energy (no corrections) ... -6.65 eV/cell

Cell and atoms, written as CIF:
```
data_LiCd
_chemical_formula_sum 'Li2 Cd2'
_symmetry_space_group_name_H-M 'P 1'
_symmetry_Int_Tables_number 1
_symmetry_space_group_name_Hall 'P 1'
_cell_length_a 4.7001
_cell_length_b 4.7001
_cell_length_c 4.7001
_cell_angle_alpha 120.00
_cell_angle_beta 90.00
_cell_angle_gamma 120.00
loop_
_atom_site_label
_atom_site_type_symbol
_atom_site_fract_x
_atom_site_fract_y
_atom_site_fract_z
Cd1 Cd 0.0000 0.0000 0.0000
Cd2 Cd 0.7500 0.5000 0.2500
Li1 Li 0.5000 0.0000 0.5000
Li2 Li 0.2500 0.5000 0.7500
```